Version a
5
Lattice="4.077 0.000 0.000 0.000 4.077 0.000 0.000 0.000 5.118" Properties=species:S:1:pos:R:3 comment="MgGeSN2 (PBE, relaxed)" rho_g_cm3=3.066 space_group="No. 123" pbc="T T T"
Mg 0.000 0.000 0.000
Ge 2.038 2.038 2.559
S 0.000 0.000 2.559
N 0.000 2.038 0.000
N 2.038 0.000 0.000

Version b
5
Lattice="-0.301 1.305 -3.425 2.243 -2.652 -1.208 -4.395 -3.317 -0.878" Properties=species:S:1:pos:R:3 comment="MgGeSN2 (PBE, relaxed)" rho_g_cm3=3.458 space_group="No. 123" pbc="T T T"
Mg -1.226 -2.332 -2.755
Ge 0.000 0.000 0.000
S -2.197 -1.658 -0.439
N 1.121 -1.326 -0.604
N -0.150 0.653 -1.712

Which of them is least stable? Easy: version a.

Version a
5
Lattice="-2.715 1.892 -2.588 -0.869 -3.699 -1.792 -4.357 -0.880 3.928" Properties=species:S:1:pos:R:3 comment="MgGeTeN2 (PBE, relaxed)" rho_g_cm3=4.006 space_group="No. 123" pbc="T T T"
Ge -3.971 -1.343 -0.226
Te -2.179 -0.440 1.964
Mg 0.000 0.000 0.000
N -0.435 -1.849 -0.896
N -1.357 0.946 -1.294

Version b
5
Lattice="3.893 0.000 0.000 0.000 3.893 0.000 0.000 0.000 5.928" Properties=species:S:1:pos:R:3 comment="MgGeTeN2 (PBE, relaxed)" rho_g_cm3=4.669 space_group="No. 123" pbc="T T T"
Ge 0.000 0.000 0.000
Te 0.000 0.000 2.964
Mg 1.946 1.946 2.964
N 0.000 1.946 0.000
N 1.946 0.000 0.000

Which of them is least stable? Easy: version a.

Version a
5
Lattice="5.106 0.000 0.000 0.000 5.106 0.000 0.000 0.000 5.106" Properties=species:S:1:pos:R:3 comment="NaMgGe3 (PBE, relaxed)" rho_g_cm3=3.309 space_group="No. 221" pbc="T T T"
Na 2.553 2.553 2.553
Ge 0.000 2.553 0.000
Ge 0.000 0.000 2.553
Ge 2.553 0.000 0.000
Mg 0.000 0.000 0.000

Version b
5
Lattice="5.042 0.000 0.000 0.000 5.042 0.000 0.000 0.000 5.042" Properties=species:S:1:pos:R:3 comment="NaMgGe3 (PBE, relaxed)" rho_g_cm3=3.437 space_group="No. 221" pbc="T T T"
Na 0.000 0.000 0.000
Ge 0.000 2.521 0.000
Ge 0.000 0.000 2.521
Ge 2.521 0.000 0.000
Mg 2.521 2.521 2.521

Which of them is least stable? Easy: version b.

Version a
5
Lattice="5.640 0.000 0.000 0.000 5.640 0.000 0.000 0.000 5.640" Properties=species:S:1:pos:R:3 comment="Na3MgGe (PBE, relaxed)" rho_g_cm3=1.536 space_group="No. 221" pbc="T T T"
Na 0.000 2.820 0.000
Na 0.000 0.000 2.820
Na 2.820 0.000 0.000
Ge 0.000 0.000 0.000
Mg 2.820 2.820 2.820

Version b
5
Lattice="5.620 0.000 0.000 0.000 5.620 0.000 0.000 0.000 5.620" Properties=species:S:1:pos:R:3 comment="Na3MgGe (PBE, relaxed)" rho_g_cm3=1.552 space_group="No. 221" pbc="T T T"
Na 0.000 2.810 0.000
Na 0.000 0.000 2.810
Na 2.810 0.000 0.000
Ge 2.810 2.810 2.810
Mg 0.000 0.000 0.000

Which of them is least stable? Easy: version b.

Version a
5
Lattice="-0.366 3.217 4.077 -4.738 1.466 -1.582 -2.126 -3.822 2.825" Properties=species:S:1:pos:R:3 comment="NaMg3Ge (PBE, relaxed)" rho_g_cm3=1.983 space_group="No. 221" pbc="T T T"
Na -3.615 0.431 2.660
Ge 0.000 0.000 0.000
Mg -2.369 0.733 -0.791
Mg -1.063 -1.911 1.413
Mg -0.183 1.609 2.038

Version b
5
Lattice="-3.078 3.905 1.483 -4.171 -2.974 -0.828 0.227 -1.683 4.903" Properties=species:S:1:pos:R:3 comment="NaMg3Ge (PBE, relaxed)" rho_g_cm3=2.003 space_group="No. 221" pbc="T T T"
Na 0.000 0.000 0.000
Ge -3.511 -0.376 2.779
Mg -2.085 -1.487 -0.414
Mg 0.114 -0.842 2.452
Mg -1.539 1.952 0.742

Which of them is least stable? Easy: version b.

Version a
5
Lattice="4.055 0.000 0.000 0.000 4.055 0.000 -2.028 -2.028 9.693" Properties=species:S:1:pos:R:3 comment="NdMg2Ge2 (PBE, relaxed)" rho_g_cm3=3.522 space_group="No. 139" pbc="T T T"
Nd 0.000 0.000 0.000
Mg 2.028 0.000 4.847
Mg 0.000 2.028 4.847
Ge 0.000 0.000 2.931
Ge 2.028 2.028 6.763

Version b
5
Lattice="4.090 -0.467 1.269 0.080 4.115 1.269 0.218 0.191 6.663" Properties=species:S:1:pos:R:3 comment="NdMg2Ge2 (PBE, relaxed)" rho_g_cm3=5.097 space_group="No. 139" pbc="T T T"
Nd 0.000 0.000 0.000
Mg 1.192 3.065 4.601
Mg 3.196 0.774 4.601
Ge 2.704 2.366 6.785
Ge 1.684 1.473 2.416

Which of them is least stable? Easy: version a.

Version a
16
Lattice="3.985 0.000 0.000 0.000 8.178 0.000 0.000 0.000 10.974" Properties=species:S:1:pos:R:3 comment="NdMgGe2 (PBE, relaxed)" rho_g_cm3=5.829 space_group="No. 62" pbc="T T T"
Nd 2.988 7.173 1.591
Nd 0.996 1.005 9.383
Nd 2.988 3.084 3.896
Nd 0.996 5.093 7.078
Mg 0.996 3.997 1.154
Mg 0.996 8.085 4.333
Mg 2.988 4.181 9.820
Mg 2.988 0.092 6.641
Ge 2.988 6.802 8.869
Ge 0.996 1.375 2.105
Ge 2.988 2.713 7.592
Ge 0.996 5.464 3.382
Ge 2.988 6.136 4.923
Ge 0.996 6.130 10.410
Ge 2.988 2.047 0.564
Ge 0.996 2.041 6.052

Version b
4
Lattice="-3.810 -0.407 1.714 -1.065 -3.159 -3.118 1.592 -3.266 2.764" Properties=species:S:1:pos:R:3 comment="NdMgGe2 (PBE, relaxed)" rho_g_cm3=5.957 space_group="No. 123" pbc="T T T"
Ge 0.796 -1.633 1.382
Ge -0.533 -1.579 -1.559
Nd -1.642 -3.416 0.680
Mg -1.905 -0.204 0.857

Version c
4
Lattice="3.619 0.000 0.000 0.000 3.619 0.000 0.000 0.000 6.647" Properties=species:S:1:pos:R:3 comment="NdMgGe2 (PBE, relaxed)" rho_g_cm3=5.986 space_group="No. 123" pbc="T T T"
Ge 0.000 0.000 5.294
Ge 0.000 0.000 1.353
Nd 1.810 1.810 3.323
Mg 1.810 1.810 0.000

Which of them is least stable? Easy: version c.

Version a
12
Lattice="-0.129 2.285 -3.490 -5.449 -2.377 -1.355 -2.829 3.645 4.986" Properties=species:S:1:pos:R:3 comment="MgNi4Ge (PBE, relaxed)" rho_g_cm3=6.697 space_group="No. 63" pbc="T T T"
Mg -6.316 1.905 1.481
Mg -2.091 1.647 -1.340
Ni -3.763 1.332 1.011
Ni -4.645 2.221 -0.869
Ni -1.806 2.185 1.498
Ni -6.601 1.367 -1.356
Ni -4.577 0.063 -2.284
Ni -3.831 3.489 2.426
Ni -2.724 -1.189 -0.677
Ni 0.000 0.000 0.000
Ge -4.944 -0.365 -0.056
Ge -3.464 3.917 0.198

Version b
6
Lattice="-2.172 3.457 -2.480 -0.555 -0.438 -4.724 -4.346 -0.747 -1.835" Properties=species:S:1:pos:R:3 comment="MgNi4Ge (PBE, relaxed)" rho_g_cm3=7.148 space_group="No. 216" pbc="T T T"
Ni -2.251 1.792 -4.731
Ni -4.142 1.637 -3.291
Ni -4.418 1.419 -5.646
Ni -3.335 -0.305 -4.410
Ge -1.768 0.568 -2.260
Mg 0.000 0.000 0.000

Which of them is least stable? Easy: version a.

Version a
5
Lattice="-1.778 0.605 -4.571 -3.834 -2.917 1.105 -2.563 3.943 1.519" Properties=species:S:1:pos:R:3 comment="MgGe3O (PBE, relaxed)" rho_g_cm3=3.552 space_group="No. 221" pbc="T T T"
Ge -1.917 -1.458 0.552
Ge -1.281 1.972 0.759
Ge -0.889 0.303 -2.286
Mg 0.000 0.000 0.000
O -4.087 0.816 -0.974

Version b
5
Lattice="-0.492 4.360 0.922 -4.404 -0.617 0.568 0.679 -0.843 4.350" Properties=species:S:1:pos:R:3 comment="MgGe3O (PBE, relaxed)" rho_g_cm3=4.759 space_group="No. 221" pbc="T T T"
Ge -2.202 -0.308 0.284
Ge 0.340 -0.422 2.175
Ge -0.246 2.180 0.461
Mg -2.108 1.450 2.920
O 0.000 0.000 0.000

Which of them is least stable? Easy: version a.

Version a
28
Lattice="4.970 0.000 0.000 0.000 6.103 0.000 0.000 0.000 10.432" Properties=species:S:1:pos:R:3 comment="Mg2GeO4 (PBE, relaxed)" rho_g_cm3=3.889 space_group="No. 62" pbc="T T T"
Mg 0.000 0.000 0.000
Mg 2.485 0.000 5.216
Mg 0.000 3.052 0.000
Mg 2.485 3.052 5.216
Mg 2.451 4.577 8.095
Mg 4.936 1.526 7.552
Mg 2.518 1.526 2.336
Mg 0.034 4.577 2.880
Ge 2.802 4.577 0.984
Ge 0.317 1.526 4.232
Ge 2.168 1.526 9.448
Ge 4.653 4.577 6.200
O 1.158 2.921 3.501
O 3.643 3.182 1.715
O 3.811 5.973 6.931
O 1.327 0.130 8.716
O 3.811 3.182 6.931
O 1.327 2.921 8.716
O 1.158 0.130 3.501
O 3.643 5.973 1.715
O 3.627 4.577 9.806
O 1.143 1.526 5.842
O 1.342 1.526 0.626
O 3.827 4.577 4.590
O 1.049 4.577 0.960
O 3.534 1.526 4.255
O 3.921 1.526 9.471
O 1.436 4.577 6.176

Version b
14
Lattice="5.569 0.009 -1.366 -2.930 4.736 -1.366 -0.127 -0.228 6.235" Properties=species:S:1:pos:R:3 comment="Mg2GeO4 (PBE, relaxed)" rho_g_cm3=3.817 space_group="No. 15" pbc="T T T"
Mg 0.639 2.528 3.310
Mg 3.944 0.689 3.310
Mg 1.874 1.990 0.193
Mg -1.432 3.828 0.193
Ge 4.474 0.544 0.193
Ge -1.961 3.974 3.310
O 0.561 1.065 1.921
O 3.655 1.513 -1.048
O 3.219 0.728 1.434
O 1.967 3.593 -1.535
O 0.546 0.924 5.038
O -0.706 3.789 2.070
O -1.142 3.005 4.551
O 1.952 3.452 1.582

Which of them is least stable? Easy: version b.

Version a
8
Lattice="-0.507 5.661 1.680 -5.905 -0.489 -0.133 -3.198 1.415 4.719" Properties=species:S:1:pos:R:3 comment="Mg2GeO (PBE, relaxed)" rho_g_cm3=3.153 space_group="No. 122" pbc="T T T"
Ge 0.000 0.000 0.000
Ge -3.455 4.831 3.586
Mg -1.797 3.188 2.023
Mg -4.611 1.398 1.497
Mg -5.473 2.945 4.105
Mg -7.339 5.642 4.908
O -3.206 2.586 0.774
O -6.154 1.756 2.680

Version b
4
Lattice="0.000 3.186 3.186 3.186 0.000 3.186 3.186 3.186 0.000" Properties=species:S:1:pos:R:3 comment="Mg2GeO (PBE, relaxed)" rho_g_cm3=3.525 space_group="No. 225" pbc="T T T"
Ge 3.186 3.186 3.186
Mg 1.593 1.593 1.593
Mg 4.778 4.778 4.778
O 0.000 0.000 0.000

Which of them is least stable? Easy: version b.

Version a
4
Lattice="-3.547 3.898 4.204 -1.732 5.886 2.792 -4.310 4.972 1.465" Properties=species:S:1:pos:R:3 comment="MgGeO2 (PBE, relaxed)" rho_g_cm3=4.110 space_group="No. 166" pbc="T T T"
Ge -4.794 7.378 4.231
Mg 0.000 0.000 0.000
O -8.480 13.050 7.483
O -1.109 1.706 0.978

Version b
8
Lattice="-0.946 4.811 0.348 -1.449 0.055 -4.697 -5.719 1.444 -0.791" Properties=species:S:1:pos:R:3 comment="MgGeO2 (PBE, relaxed)" rho_g_cm3=3.669 space_group="No. 122" pbc="T T T"
Ge 0.000 0.000 0.000
Ge -3.931 4.344 -1.308
Mg -1.197 2.433 -2.174
Mg -4.183 1.966 -3.831
O -2.166 3.191 -0.580
O -2.490 1.181 -3.076
O -5.243 2.910 -2.403
O -6.329 5.339 -4.218

Which of them is least stable? Easy: version a.